Material: Mg2FeO4
Method: DFT, GGA+U
State: relaxed

Output
Distance to the lowest polymorph of the same formula = 15 meV per atom
Density = 3.66 g cm⁻³
Volume = 76.43 Å³/f.u.
Total magnetization = 4.0 μB per formula unit

Unit cell a=8.4876 b=8.4876 c=8.4876 alpha=90.00 beta=90.00 gamma=90.00
With the nearest neighbours (Å) after each atom.
Space group Fd-3m (No. 227, origin choice 2)
Inequivalent atoms, fractional coordinates:
Mg 0.0000 0.0000 0.0000 x16  6 O 2.09
Fe 0.1250 0.1250 0.6250 x8  4 O 1.89
O 0.0037 0.0037 0.2463 x32  1 Fe 1.89, 3 Mg 2.09